# 1
VASP calculation (PBE) on B3C after structural relaxation.

It has space group Cm (No. 8), with a = 5.1610 Å, b = 8.0144 Å, c = 4.4771 Å, α = 90.00°, β = 109.34° and γ = 90.00°. The asymmetric unit holds B at (0.0000, 0.0000, 0.0000), B at (0.0415, 0.5000, 0.0074), B at (0.0845, 0.1139, 0.3447), B at (0.3683, 0.2965, 0.9888), B at (0.4076, 0.5000, 0.5887), B at (0.4585, 0.1665, 0.4721), C at (0.0309, 0.3269, 0.8443) and C at (0.1018, 0.5000, 0.3725).

Its total magnetization is 0.0 μB per formula unit. The calculation puts the excess energy over the best structure of this formula in the dataset at 160 meV per atom. As for the mass density: 2.53 g/cm³. The value obtained for the formation energy is 400 meV/atom.

***

# 2
VASP calculation (PBE) on BC after structural relaxation.

It has space group P-3m1 (No. 164), with a = 2.6325 Å, b = 2.6325 Å, c = 14.9499 Å, α = 90.00°, β = 90.00° and γ = 120.00°. The asymmetric unit holds B at (0.0000, 0.0000, 0.1267), B at (0.3333, 0.6667, 0.2398), B at (0.3333, 0.6667, 0.6917), C at (0.0000, 0.0000, 0.4484), C at (0.3333, 0.6667, 0.1351) and C at (0.3333, 0.6667, 0.5864).

Its total magnetization is 0.0 μB per formula unit. The calculation puts the excess energy over the best structure of this formula in the dataset at 125 meV per atom. As for the mass density: 2.53 g/cm³. The value obtained for the formation energy is 275 meV/atom.

***

# 3
VASP calculation (PBE) on B11C after structural relaxation.

It has space group P-4m2 (No. 115), with a = 2.3006 Å, b = 2.3006 Å, c = 15.5192 Å, α = 90.00°, β = 90.00° and γ = 90.00°. The asymmetric unit holds B at (0.0000, 0.0000, 0.0000), B at (0.0000, 0.0000, 0.3427), B at (0.0000, 0.5000, 0.2574), B at (0.0000, 0.5000, 0.5710), B at (0.0000, 0.5000, 0.9144), B at (0.5000, 0.5000, 0.1712) and C at (0.5000, 0.5000, 0.5000).

Its total magnetization is 0.0 μB per formula unit. The calculation puts the excess energy over the best structure of this formula in the dataset at 131 meV per atom. As for the mass density: 2.65 g/cm³. The value obtained for the formation energy is 405 meV/atom.

***

# 4
VASP calculation (PBE) on BC after structural relaxation.

It has space group Pmm2 (No. 25), with a = 2.3425 Å, b = 2.6610 Å, c = 12.8137 Å, α = 90.00°, β = 90.00° and γ = 90.00°. The asymmetric unit holds B at (0.0000, 0.0000, 0.0000), B at (0.0000, 0.0000, 0.3304), B at (0.0000, 0.0000, 0.6690), B at (0.5000, 0.0000, 0.5582), B at (0.5000, 0.5000, 0.1665), B at (0.5000, 0.5000, 0.8343), C at (0.0000, 0.5000, 0.0711), C at (0.0000, 0.5000, 0.4119), C at (0.0000, 0.5000, 0.7372), C at (0.5000, 0.0000, 0.2383), C at (0.5000, 0.0000, 0.9044) and C at (0.5000, 0.5000, 0.4792).

Its total magnetization is 0.0 μB per formula unit. The calculation puts the excess energy over the best structure of this formula in the dataset at 245 meV per atom. As for the mass density: 2.85 g/cm³. The value obtained for the formation energy is 395 meV/atom.